# 1
# RbBaAg

A relaxed RbBaAg crystal (GGA-PBE, Alexandria).

a b c (Å): 4.6531 4.8952 14.5123
angles (deg): 90.00 90.09 90.00
Space group P2_1/m (No. 11)
Inequivalent atoms, fractional coordinates:
Rb (0.0015, 0.2500, 0.3565) (multiplicity 2)
Ba (0.4995, 0.2500, 0.8764) (multiplicity 2)
Ag (0.0002, 0.2500, 0.0565) (multiplicity 2)

Properties
ΔH_f (0 K) in eV per atom: -0.1345
Total magnetization in μB per formula unit: 0.00
Energy in eV per atom: -2.0483



# 2
# In5Pd12Pb3

A relaxed In5Pd12Pb3 crystal (GGA-PBE, Alexandria).

a b c (Å): 15.6628 15.6628 15.6628
angles (deg): 90.00 90.00 90.00
Space group Ia-3d (No. 230)
Inequivalent atoms, fractional coordinates:
In (0.0000, 0.0000, 0.0000) (multiplicity 16)
In (0.0000, 0.2500, 0.3750) (multiplicity 24)
Pd (0.0051, 0.0735, 0.6520) (multiplicity 96)
Pb (0.0000, 0.2500, 0.1250) (multiplicity 24)

Properties
ΔH_f (0 K) in eV per atom: 0.0063
Total magnetization in μB per formula unit: 0.00
Energy in eV per atom: -4.3503



# 3
# BaLaNb2Ag

A relaxed BaLaNb2Ag crystal (GGA-PBE, Alexandria).

a b c (Å): 5.1942 5.1942 5.8044
angles (deg): 90.00 90.00 90.00
Space group P4/mmm (No. 123)
Inequivalent atoms, fractional coordinates:
Ba (0.0000, 0.0000, 0.0000) (multiplicity 1)
La (0.5000, 0.5000, 0.0000) (multiplicity 1)
Nb (0.0000, 0.5000, 0.5000) (multiplicity 2)
Ag (0.0000, 0.0000, 0.5000) (multiplicity 1)

Properties
ΔH_f (0 K) in eV per atom: 1.2406
Total magnetization in μB per formula unit: 0.00
Energy in eV per atom: -4.7276



# 4
# MgInCl2

A relaxed MgInCl2 crystal (GGA-PBE, Alexandria).

a b c (Å): 3.2057 3.2057 11.4525
angles (deg): 90.00 90.00 90.00
Space group P4/mmm (No. 123)
Inequivalent atoms, fractional coordinates:
Mg (0.0000, 0.0000, 0.0000) (multiplicity 1)
In (0.0000, 0.0000, 0.5000) (multiplicity 1)
Cl (0.5000, 0.5000, 0.1317) (multiplicity 2)

Properties
Total magnetization in μB per formula unit: 0.00
Energy relative to the elements, uncorrected in eV per atom: -0.93
Energy in eV per atom: -2.9362